No. 1
Material: Gd2TmTc
Method: DFT, PBE-GGA
State: optimized geometry

```
data_Gd2TmTc
_symmetry_space_group_name_H-M 'P 4/m m m'
_symmetry_Int_Tables_number 123
_symmetry_space_group_name_Hall '-P 4 2'
_cell_length_a 3.464
_cell_length_b 3.464
_cell_length_c 8.803
_cell_angle_alpha 90.00
_cell_angle_beta 90.00
_cell_angle_gamma 90.00
loop_
_atom_site_label
_atom_site_type_symbol
_atom_site_fract_x
_atom_site_fract_y
_atom_site_fract_z
Gd1 Gd 0.000 0.000 0.190
Tm1 Tm 0.500 0.500 0.500
Tc1 Tc 0.500 0.500 0.000
```

Calculated values
Total magnetization, μB/f.u.: 13.8
E, eV/atom: -10.690
Density of states at the Fermi level, states/eV/cell: 4.89
Polymorph energy (0 for the lowest one), meV/atom: 0

---

No. 2
Material: RbNa4Tl4
Method: DFT, PBE-GGA
State: optimized geometry

```
data_RbNa4Tl4
_symmetry_space_group_name_H-M 'I 4/m m m'
_symmetry_Int_Tables_number 139
_symmetry_space_group_name_Hall '-I 4 2'
_cell_length_a 11.184
_cell_length_b 11.184
_cell_length_c 4.764
_cell_angle_alpha 90.00
_cell_angle_beta 90.00
_cell_angle_gamma 90.00
loop_
_atom_site_label
_atom_site_type_symbol
_atom_site_fract_x
_atom_site_fract_y
_atom_site_fract_z
Rb1 Rb 0.000 0.000 0.000
Na1 Na 0.000 0.324 0.000
Tl1 Tl 0.183 0.183 0.500
```

Calculated values
Total magnetization, μB/f.u.: 0.0
E, eV/atom: -1.810
Density of states at the Fermi level, states/eV/cell: 11.39

---

Which of these has the lowest E? Gd2TmTc

---

Number 1 is which compound? Gd2TmTc